a.
# BeAlRh2 (PBE, relaxed)
data_BeAlRh2
_chemical_formula_sum 'Be1 Al1 Rh2'
_cell_length_a 2.967
_cell_length_b 2.967
_cell_length_c 5.758
_cell_angle_alpha 90.00
_cell_angle_beta 90.00
_cell_angle_gamma 90.00
_space_group_name_H-M_alt 'P 4 m m'
_space_group_IT_number 99
loop_
_space_group_symop_operation_xyz
'x,y,z'
'-y,x,z'
'-x,-y,z'
'y,-x,z'
'-x,y,z'
'y,x,z'
'x,-y,z'
'-y,-x,z'
loop_
_atom_site_label
_atom_site_fract_x
_atom_site_fract_y
_atom_site_fract_z
Be1 0.000 0.000 0.000
Al1 0.500 0.500 0.739
Rh1 0.000 0.000 0.507
Rh2 0.500 0.500 0.170
# - D(E_F) (states/eV/f.u.) = 1.8

---

b.
# BeAlRh2 (PBE, relaxed)
data_BeAlRh2
_chemical_formula_sum 'Be4 Al4 Rh8'
_cell_length_a 5.810
_cell_length_b 5.810
_cell_length_c 5.810
_cell_angle_alpha 90.00
_cell_angle_beta 90.00
_cell_angle_gamma 90.00
_space_group_name_H-M_alt 'F m -3 m'
_space_group_IT_number 225
_space_group_name_Hall '-F 4 2 3'
loop_
_atom_site_label
_atom_site_fract_x
_atom_site_fract_y
_atom_site_fract_z
Be1 0.000 0.000 0.000
Al1 0.000 0.000 0.500
Rh1 0.250 0.250 0.250
# - D(E_F) (states/eV/f.u.) = 1.1

---

b (298 meV/atom below the next structure)

---

a.
# BeAlRh2 (PBE, relaxed)
data_BeAlRh2
_chemical_formula_sum 'Be2 Al2 Rh4'
_cell_length_a 2.886
_cell_length_b 3.978
_cell_length_c 8.807
_cell_angle_alpha 90.00
_cell_angle_beta 90.00
_cell_angle_gamma 90.00
_space_group_name_H-M_alt 'I m m 2'
_space_group_IT_number 44
loop_
_space_group_symop_operation_xyz
'x,y,z'
'-x,-y,z'
'-x,y,z'
'x,-y,z'
'x+1/2,y+1/2,z+1/2'
'-x+1/2,-y+1/2,z+1/2'
'-x+1/2,y+1/2,z+1/2'
'x+1/2,-y+1/2,z+1/2'
loop_
_atom_site_label
_atom_site_fract_x
_atom_site_fract_y
_atom_site_fract_z
Be1 0.000 0.000 0.000
Al1 0.000 0.500 0.249
Rh1 0.000 0.000 0.485
Rh2 0.000 0.500 0.716
# - D(E_F) (states/eV/f.u.) = 3.1

---

b.
# BeAlRh2 (PBE, relaxed)
data_BeAlRh2
_chemical_formula_sum 'Be4 Al4 Rh8'
_cell_length_a 5.952
_cell_length_b 5.952
_cell_length_c 5.952
_cell_angle_alpha 90.00
_cell_angle_beta 90.00
_cell_angle_gamma 90.00
_space_group_name_H-M_alt 'F -4 3 m'
_space_group_IT_number 216
_space_group_name_Hall 'F -4 2 3'
loop_
_atom_site_label
_atom_site_fract_x
_atom_site_fract_y
_atom_site_fract_z
Be1 0.000 0.000 0.000
Al1 0.250 0.250 0.750
Rh1 0.000 0.000 0.500
Rh2 0.250 0.250 0.250
# - D(E_F) (states/eV/f.u.) = 4.9

---

c.
# BeAlRh2 (PBE, relaxed)
data_BeAlRh2
_chemical_formula_sum 'Be2 Al2 Rh4'
_cell_length_a 2.864
_cell_length_b 4.606
_cell_length_c 8.157
_cell_angle_alpha 90.00
_cell_angle_beta 90.00
_cell_angle_gamma 90.00
_space_group_name_H-M_alt 'C m m 2'
_space_group_IT_number 35
loop_
_space_group_symop_operation_xyz
'x,y,z'
'-x,-y,z'
'-x,y,z'
'x,-y,z'
'x+1/2,y+1/2,z'
'-x+1/2,-y+1/2,z'
'-x+1/2,y+1/2,z'
'x+1/2,-y+1/2,z'
loop_
_atom_site_label
_atom_site_fract_x
_atom_site_fract_y
_atom_site_fract_z
Be1 0.000 0.000 0.000
Al1 0.000 0.500 0.742
Rh1 0.000 0.000 0.500
Rh2 0.000 0.500 0.207
# - D(E_F) (states/eV/f.u.) = 4.6

---

d.
# BeAlRh2 (PBE, relaxed)
data_BeAlRh2
_chemical_formula_sum 'Be2 Al2 Rh4'
_cell_length_a 3.502
_cell_length_b 3.502
_cell_length_c 8.361
_cell_angle_alpha 90.00
_cell_angle_beta 90.00
_cell_angle_gamma 90.00
_space_group_name_H-M_alt 'I -4 m 2'
_space_group_IT_number 119
_space_group_name_Hall 'I -4 -2'
loop_
_atom_site_label
_atom_site_fract_x
_atom_site_fract_y
_atom_site_fract_z
Be1 0.000 0.000 0.000
Al1 0.000 0.500 0.250
Rh1 0.000 0.000 0.500
Rh2 0.000 0.500 0.750
# - D(E_F) (states/eV/f.u.) = 3.0

---

a (97 meV/atom below the next structure)

---

a.
# BeAlRh2 (PBE, relaxed)
data_BeAlRh2
_chemical_formula_sum 'Be1 Al1 Rh2'
_cell_length_a 2.898
_cell_length_b 2.902
_cell_length_c 5.789
_cell_angle_alpha 90.00
_cell_angle_beta 90.19
_cell_angle_gamma 90.00
_space_group_name_H-M_alt 'P 1 2/m 1'
_space_group_IT_number 10
loop_
_space_group_symop_operation_xyz
'x,y,z'
'-x,-y,-z'
'-x,y,-z'
'x,-y,z'
loop_
_atom_site_label
_atom_site_fract_x
_atom_site_fract_y
_atom_site_fract_z
Be1 0.000 0.000 0.000
Al1 0.000 0.000 0.500
Rh1 0.499 0.500 0.236
# - D(E_F) (states/eV/f.u.) = 1.1

---

b.
# BeAlRh2 (PBE, relaxed)
data_BeAlRh2
_chemical_formula_sum 'Be3 Al3 Rh6'
_cell_length_a 2.8621
_cell_length_b 2.8621
_cell_length_c 21.6472
_cell_angle_alpha 90.00
_cell_angle_beta 90.00
_cell_angle_gamma 120.00
_space_group_name_H-M_alt 'R -3 m'
_space_group_IT_number 166
_space_group_name_Hall '-R 3 2"'
loop_
_atom_site_label
_atom_site_fract_x
_atom_site_fract_y
_atom_site_fract_z
Be1 0.0000 0.0000 0.0000
Al1 0.0000 0.0000 0.5000
Rh1 0.0000 0.0000 0.2575
# - D(E_F) (states/eV/f.u.) = 1.5

---

a (330 meV/atom below the next structure)

---

a.
# Be2AlRh2 (PBE, relaxed)
data_Be2AlRh2
_chemical_formula_sum 'Be4 Al2 Rh4'
_cell_length_a 2.993
_cell_length_b 2.993
_cell_length_c 13.240
_cell_angle_alpha 90.00
_cell_angle_beta 90.00
_cell_angle_gamma 90.00
_space_group_name_H-M_alt 'I 4/m m m'
_space_group_IT_number 139
_space_group_name_Hall '-I 4 2'
loop_
_atom_site_label
_atom_site_fract_x
_atom_site_fract_y
_atom_site_fract_z
Be1 0.000 0.500 0.250
Al1 0.000 0.000 0.000
Rh1 0.000 0.000 0.387
# - D(E_F) (states/eV/f.u.) = 2.2

---

b.
# Be2AlRh2 (PBE, relaxed)
data_Be2AlRh2
_chemical_formula_sum 'Be4 Al2 Rh4'
_cell_length_a 6.459
_cell_length_b 6.459
_cell_length_c 2.906
_cell_angle_alpha 90.00
_cell_angle_beta 90.00
_cell_angle_gamma 90.00
_space_group_name_H-M_alt 'P 4/m b m'
_space_group_IT_number 127
_space_group_name_Hall '-P 4 2ab'
loop_
_atom_site_label
_atom_site_fract_x
_atom_site_fract_y
_atom_site_fract_z
Be1 0.136 0.364 0.000
Al1 0.000 0.000 0.500
Rh1 0.157 0.657 0.500
# - D(E_F) (states/eV/f.u.) = 2.0

---

b (17 meV/atom below the next structure)

---

a.
# Be3AlRh (PBE, relaxed)
data_Be3AlRh
_chemical_formula_sum 'Be3 Al1 Rh1'
_cell_length_a 4.174
_cell_length_b 4.174
_cell_length_c 4.174
_cell_angle_alpha 90.00
_cell_angle_beta 90.00
_cell_angle_gamma 90.00
_space_group_name_H-M_alt 'P m -3 m'
_space_group_IT_number 221
_space_group_name_Hall '-P 4 2 3'
loop_
_atom_site_label
_atom_site_fract_x
_atom_site_fract_y
_atom_site_fract_z
Be1 0.000 0.000 0.500
Al1 0.500 0.500 0.500
Rh1 0.000 0.000 0.000
# - D(E_F) (states/eV/f.u.) = 1.4

---

b.
# Be3AlRh (PBE, relaxed)
data_Be3AlRh
_chemical_formula_sum 'Be3 Al1 Rh1'
_cell_length_a 4.108
_cell_length_b 4.108
_cell_length_c 4.108
_cell_angle_alpha 90.00
_cell_angle_beta 90.00
_cell_angle_gamma 90.00
_space_group_name_H-M_alt 'P m -3 m'
_space_group_IT_number 221
_space_group_name_Hall '-P 4 2 3'
loop_
_atom_site_label
_atom_site_fract_x
_atom_site_fract_y
_atom_site_fract_z
Be1 0.000 0.000 0.500
Al1 0.000 0.000 0.000
Rh1 0.500 0.500 0.500
# - D(E_F) (states/eV/f.u.) = 2.2

---

a (735 meV/atom below the next structure)

---

a.
# SrBe2AlRh (PBE, relaxed)
data_SrBe2AlRh
_chemical_formula_sum 'Sr1 Be2 Al1 Rh1'
_cell_length_a 5.216
_cell_length_b 5.216
_cell_length_c 4.960
_cell_angle_alpha 90.00
_cell_angle_beta 90.00
_cell_angle_gamma 90.00
_space_group_name_H-M_alt 'P 4/m m m'
_space_group_IT_number 123
_space_group_name_Hall '-P 4 2'
loop_
_atom_site_label
_atom_site_fract_x
_atom_site_fract_y
_atom_site_fract_z
Sr1 0.000 0.000 0.000
Be1 0.000 0.500 0.000
Al1 0.500 0.500 0.500
Rh1 0.000 0.000 0.500
# - D(E_F) (states/eV/f.u.) = 3.7

---

b.
# SrBe2AlRh (PBE, relaxed)
data_SrBe2AlRh
_chemical_formula_sum 'Sr1 Be2 Al1 Rh1'
_cell_length_a 4.719
_cell_length_b 4.719
_cell_length_c 5.440
_cell_angle_alpha 90.00
_cell_angle_beta 90.00
_cell_angle_gamma 90.00
_space_group_name_H-M_alt 'P 4/m m m'
_space_group_IT_number 123
_space_group_name_Hall '-P 4 2'
loop_
_atom_site_label
_atom_site_fract_x
_atom_site_fract_y
_atom_site_fract_z
Sr1 0.000 0.000 0.000
Be1 0.000 0.500 0.000
Al1 0.000 0.000 0.500
Rh1 0.500 0.500 0.500
# - D(E_F) (states/eV/f.u.) = 1.6

---

a (359 meV/atom below the next structure)